(1)
The following is a DFT calculation (PBEsol) of NbAsO2 after structural relaxation.

## Properties
- ΔE_f (raw) (eV/f.u.) = -2.4
- symmetry = R-3m (166)

```
data_NbAsO2
_cell_length_a 7.131
_cell_length_b 7.131
_cell_length_c 7.131
_cell_angle_alpha 24.20
_cell_angle_beta 24.20
_cell_angle_gamma 24.20
_symmetry_space_group_name_H-M 'P 1'
_symmetry_Int_Tables_number 1
loop_
_symmetry_equiv_pos_as_xyz
'x,y,z'
loop_
_atom_site_label
_atom_site_type_symbol
_atom_site_fract_x
_atom_site_fract_y
_atom_site_fract_z
Nb1 Nb 0.000 0.000 0.000
As1 As 0.500 0.500 0.500
O1 O 0.095 0.095 0.095
O2 O 0.905 0.905 0.905
```

***

(2)
The following is a DFT calculation (PBEsol) of InNi2W after structural relaxation.

## Properties
- energy relative to the elements (eV/atom) = 0.2126
- symmetry = Imm2 (44)

```
data_InNi2W
_cell_length_a 5.266
_cell_length_b 5.266
_cell_length_c 5.266
_cell_angle_alpha 149.92
_cell_angle_beta 130.01
_cell_angle_gamma 59.46
_symmetry_space_group_name_H-M 'P 1'
_symmetry_Int_Tables_number 1
loop_
_symmetry_equiv_pos_as_xyz
'x,y,z'
loop_
_atom_site_label
_atom_site_type_symbol
_atom_site_fract_x
_atom_site_fract_y
_atom_site_fract_z
In1 In 0.000 0.000 0.000
Ni1 Ni 0.253 0.753 0.500
Ni2 Ni 0.479 0.479 0.000
W1 W 0.721 0.221 0.500
```

***

(3)
The following is a DFT calculation (PBEsol) of LiP4WO13 after structural relaxation.

## Properties
- ΔE_f (raw) (eV/f.u.) = -39.7
- symmetry = P1 (1)

```
data_LiP4WO13
_cell_length_a 5.155
_cell_length_b 7.855
_cell_length_c 13.866
_cell_angle_alpha 84.00
_cell_angle_beta 88.66
_cell_angle_gamma 80.66
_symmetry_space_group_name_H-M 'P 1'
_symmetry_Int_Tables_number 1
loop_
_symmetry_equiv_pos_as_xyz
'x,y,z'
loop_
_atom_site_label
_atom_site_type_symbol
_atom_site_fract_x
_atom_site_fract_y
_atom_site_fract_z
Li1 Li 0.000 0.000 0.000
Li2 Li 0.481 0.098 0.511
P1 P 0.129 0.940 0.676
P2 P 0.184 0.821 0.207
P3 P 0.363 0.755 0.859
P4 P 0.471 0.393 0.653
P5 P 0.518 0.599 0.349
P6 P 0.625 0.248 0.136
P7 P 0.806 0.179 0.794
P8 P 0.857 0.064 0.319
W1 W 0.073 0.424 0.239
W2 W 0.917 0.576 0.756
O1 O 0.012 0.877 0.301
O2 O 0.060 0.190 0.306
O3 O 0.069 0.663 0.179
O4 O 0.182 0.478 0.668
O5 O 0.185 0.965 0.131
O6 O 0.196 0.613 0.842
O7 O 0.264 0.963 0.583
O8 O 0.307 0.836 0.950
O9 O 0.330 0.335 0.147
O10 O 0.330 0.893 0.764
O11 O 0.354 0.457 0.325
O12 O 0.463 0.747 0.255
O13 O 0.468 0.670 0.441
O14 O 0.516 0.302 0.565
O15 O 0.522 0.253 0.751
O16 O 0.644 0.532 0.668
O17 O 0.656 0.667 0.846
O18 O 0.658 0.110 0.231
O19 O 0.688 0.166 0.046
O20 O 0.720 0.054 0.413
O21 O 0.790 0.390 0.154
O22 O 0.810 0.518 0.328
O23 O 0.812 0.034 0.870
O24 O 0.923 0.338 0.820
O25 O 0.934 0.809 0.687
O26 O 0.966 0.123 0.698
```

***

(4)
The following is a DFT calculation (PBEsol) of Zr4Rh3 after structural relaxation.

## Properties
- energy relative to the elements (eV/atom) = -0.6329
- symmetry = R-3 (148)

```
data_Zr4Rh3
_cell_length_a 7.333
_cell_length_b 7.333
_cell_length_c 7.333
_cell_angle_alpha 113.64
_cell_angle_beta 113.64
_cell_angle_gamma 113.64
_symmetry_space_group_name_H-M 'P 1'
_symmetry_Int_Tables_number 1
loop_
_symmetry_equiv_pos_as_xyz
'x,y,z'
loop_
_atom_site_label
_atom_site_type_symbol
_atom_site_fract_x
_atom_site_fract_y
_atom_site_fract_z
Zr1 Zr 0.000 0.000 0.000
Zr2 Zr 0.076 0.639 0.783
Zr3 Zr 0.217 0.924 0.361
Zr4 Zr 0.361 0.217 0.924
Zr5 Zr 0.500 0.500 0.500
Zr6 Zr 0.639 0.783 0.076
Zr7 Zr 0.783 0.076 0.639
Zr8 Zr 0.924 0.361 0.217
Rh1 Rh 0.138 0.282 0.566
Rh2 Rh 0.282 0.566 0.138
Rh3 Rh 0.434 0.862 0.718
Rh4 Rh 0.566 0.138 0.282
Rh5 Rh 0.718 0.434 0.862
Rh6 Rh 0.862 0.718 0.434
```

***

(5)
The following is a DFT calculation (PBEsol) of TaBe2Tl after structural relaxation.

## Properties
- energy relative to the elements (eV/atom) = 0.4502
- polymorph energy (0 for the lowest one) (meV per atom) = 49
- symmetry = P4/mmm (123)

```
data_TaBe2Tl
_cell_length_a 2.933
_cell_length_b 2.933
_cell_length_c 7.169
_cell_angle_alpha 90.00
_cell_angle_beta 90.00
_cell_angle_gamma 90.00
_symmetry_space_group_name_H-M 'P 1'
_symmetry_Int_Tables_number 1
loop_
_symmetry_equiv_pos_as_xyz
'x,y,z'
loop_
_atom_site_label
_atom_site_type_symbol
_atom_site_fract_x
_atom_site_fract_y
_atom_site_fract_z
Ta1 Ta 0.000 0.000 0.000
Be1 Be 0.500 0.500 0.216
Be2 Be 0.500 0.500 0.784
Tl1 Tl 0.000 0.000 0.500
```

***

(6)
The following is a DFT calculation (PBEsol) of LiIn after structural relaxation.

## Properties
- energy relative to the elements (eV/atom) = -0.3046
- symmetry = Fd-3m (227)

```
data_LiIn
_cell_length_a 4.792
_cell_length_b 4.792
_cell_length_c 4.792
_cell_angle_alpha 60.00
_cell_angle_beta 60.00
_cell_angle_gamma 60.00
_symmetry_space_group_name_H-M 'P 1'
_symmetry_Int_Tables_number 1
loop_
_symmetry_equiv_pos_as_xyz
'x,y,z'
loop_
_atom_site_label
_atom_site_type_symbol
_atom_site_fract_x
_atom_site_fract_y
_atom_site_fract_z
Li1 Li 0.125 0.125 0.125
Li2 Li 0.875 0.875 0.875
In1 In 0.375 0.375 0.375
In2 In 0.625 0.625 0.625
```

***

(7)
The following is a DFT calculation (PBEsol) of K2CdSb2 after structural relaxation.

## Properties
- ΔE_f (raw) (eV/f.u.) = 1.2
- polymorph energy (0 for the lowest one) (meV per atom) = 544
- symmetry = P4/mmm (123)

```
data_K2CdSb2
_cell_length_a 3.352
_cell_length_b 3.352
_cell_length_c 16.204
_cell_angle_alpha 90.00
_cell_angle_beta 90.00
_cell_angle_gamma 90.00
_symmetry_space_group_name_H-M 'P 1'
_symmetry_Int_Tables_number 1
loop_
_symmetry_equiv_pos_as_xyz
'x,y,z'
loop_
_atom_site_label
_atom_site_type_symbol
_atom_site_fract_x
_atom_site_fract_y
_atom_site_fract_z
K1 K 0.000 0.000 0.126
K2 K 0.000 0.000 0.874
Cd1 Cd 0.000 0.000 0.500
Sb1 Sb 0.000 0.000 0.330
Sb2 Sb 0.000 0.000 0.670
```

***

(8)
The following is a DFT calculation (PBEsol) of KLi2GaH after structural relaxation.

## Properties
- calculated total energy (eV per atom) = -2.246
- symmetry = P4/mmm (123)

```
data_KLi2GaH
_cell_length_a 4.445
_cell_length_b 4.445
_cell_length_c 5.110
_cell_angle_alpha 90.00
_cell_angle_beta 90.00
_cell_angle_gamma 90.00
_symmetry_space_group_name_H-M 'P 1'
_symmetry_Int_Tables_number 1
loop_
_symmetry_equiv_pos_as_xyz
'x,y,z'
loop_
_atom_site_label
_atom_site_type_symbol
_atom_site_fract_x
_atom_site_fract_y
_atom_site_fract_z
K1 K 0.000 0.000 0.000
Li1 Li 0.000 0.500 0.500
Li2 Li 0.500 0.000 0.500
Ga1 Ga 0.500 0.500 0.000
H1 H 0.000 0.000 0.500
```

***

For each record above, in turn, the calculated spin magnetization values are 0.0; 0.0; 1.0; 0.0; 0.0; 0.0; 0.0; 0.0 μB/f.u..